## K2RbMgGe (PBE)

Data for crystalline K2RbMgGe at its relaxed geometry.

Cell and atoms, written as POSCAR:
```
K2RbMgGe
1.0
6.8071 0.0000 0.0000
0.0000 6.8071 0.0000
0.0000 0.0000 5.2161
K Rb Mg Ge
2 1 1 1
Cartesian
0.0000 3.4035 0.0000
3.4035 0.0000 0.0000
0.0000 0.0000 2.6080
3.4035 3.4035 2.6080
3.4035 3.4035 0.0000
```

Computed properties:
- Crystal system: tetragonal
- Size of the total moment: 0.0 Bohr magnetons per cell
- Formation energy from the elements: 0.0597 eV/atom
- Symmetry: P4/mmm, No. 123



## ZrCd2Os (PBE)

Data for crystalline ZrCd2Os at its relaxed geometry.

Cell and atoms, written as POSCAR:
```
ZrCd2Os
1.0
2.7826 -4.7514 0.0000
2.7826 4.7514 0.0000
0.0000 0.0000 2.8811
Zr Cd Os
1 2 1
Cartesian
0.0000 0.0000 0.0000
1.3913 2.3757 1.4406
1.3913 -2.3757 1.4406
2.7826 0.0000 0.0000
```

Computed properties:
- ΔE to the lowest computed polymorph: 313 meV per atom
- Crystal system: orthorhombic
- Size of the total moment: 0.5 Bohr magnetons per cell
- Formation energy from the elements: 0.3055 eV/atom
- Symmetry: Cmmm, No. 65



## AcMgZnIr2 (PBE)

Data for crystalline AcMgZnIr2 at its relaxed geometry.

Cell and atoms, written as POSCAR:
```
AcMgZnIr2
1.0
-2.0768 2.1383 5.8311
2.0768 -2.1383 5.8311
2.0768 2.1383 -5.8311
Ac Mg Zn Ir
1 1 1 2
Cartesian
0.0000 0.0000 0.0000
2.0768 0.0000 3.0423
0.0000 0.0000 7.2741
0.0000 0.0000 4.6709
0.0000 2.1383 3.1324
```

Computed properties:
- Crystal system: orthorhombic
- Size of the total moment: 0.0 Bohr magnetons per cell
- Formation energy from the elements: -0.3706 eV/atom
- Symmetry: Imm2, No. 44



## KLiMg (PBE)

Data for crystalline KLiMg at its relaxed geometry.

Cell and atoms, written as POSCAR:
```
KLiMg
1.0
4.2995 0.0000 0.0000
0.0005 4.3100 0.0000
2.1148 0.0736 12.4366
K Li Mg
2 2 2
Cartesian
0.0000 0.0000 0.0000
2.1310 2.1706 3.8220
2.1551 0.0499 7.0074
4.3051 2.2079 6.9926
2.1585 2.2013 9.1648
4.3062 4.3553 9.1839
```

Computed properties:
- ΔE to the lowest computed polymorph: 8 meV per atom
- Crystal system: triclinic
- Size of the total moment: 0.0 Bohr magnetons per cell
- Formation energy from the elements: 0.0868 eV/atom
- Symmetry: P1, No. 1



## YPuCdRu (PBE)

Data for crystalline YPuCdRu at its relaxed geometry.

Cell and atoms, written as POSCAR:
```
YPuCdRu
1.0
0.0000 3.5706 3.5706
3.5706 0.0000 3.5706
3.5706 3.5706 0.0000
Y Pu Cd Ru
1 1 1 1
Cartesian
0.0000 0.0000 0.0000
3.5706 3.5706 3.5706
1.7853 1.7853 1.7853
5.3558 5.3558 5.3558
```

Computed properties:
- ΔE to the lowest computed polymorph: 159 meV per atom
- Crystal system: cubic
- Size of the total moment: 5.4 Bohr magnetons per cell
- Formation energy from the elements: -0.0640 eV/atom
- Symmetry: F-43m, No. 216



## LiCaLa2Pt (PBE)

Data for crystalline LiCaLa2Pt at its relaxed geometry.

Cell and atoms, written as POSCAR:
```
LiCaLa2Pt
1.0
5.6662 0.0000 0.0000
0.0000 5.6662 0.0000
0.0000 0.0000 5.7986
Li Ca La Pt
1 1 2 1
Cartesian
0.0000 0.0000 0.0000
2.8331 2.8331 0.0000
0.0000 2.8331 2.8993
2.8331 0.0000 2.8993
2.8331 2.8331 2.8993
```

Computed properties:
- ΔE to the lowest computed polymorph: 0 meV per atom
- Crystal system: tetragonal
- Size of the total moment: 0.0 Bohr magnetons per cell
- Formation energy from the elements: -0.3688 eV/atom
- Symmetry: P4/mmm, No. 123



## KTa2 (PBE)

Data for crystalline KTa2 at its relaxed geometry.

Cell and atoms, written as POSCAR:
```
KTa2
1.0
0.0000 2.4592 8.7022
1.6643 0.0000 8.7022
1.6643 2.4592 0.0000
K Ta
1 2
Cartesian
0.0000 0.0000 0.0000
1.6643 2.4592 5.4153
1.6643 2.4592 11.9891
```

Computed properties:
- ΔE to the lowest computed polymorph: 255 meV per atom
- Crystal system: orthorhombic
- Size of the total moment: 0.0 Bohr magnetons per cell
- Formation energy from the elements: 0.8036 eV/atom
- Symmetry: Fmmm, No. 69



## Ba2CdTc (PBE)

Data for crystalline Ba2CdTc at its relaxed geometry.

Cell and atoms, written as POSCAR:
```
Ba2CdTc
1.0
3.7429 0.0000 0.0000
0.0000 3.8419 0.0000
0.0000 0.0000 9.0905
Ba Cd Tc
2 1 1
Cartesian
0.0000 0.0000 1.9941
0.0000 0.0000 7.0964
1.8714 1.9209 4.5452
1.8714 1.9209 0.0000
```

Computed properties:
- ΔE to the lowest computed polymorph: 93 meV per atom
- Crystal system: orthorhombic
- Size of the total moment: 1.2 Bohr magnetons per cell
- Formation energy from the elements: 0.5422 eV/atom
- Symmetry: Pmmm, No. 47



## Pr2MgGe4Pd3 (PBE)

Data for crystalline Pr2MgGe4Pd3 at its relaxed geometry.

Cell and atoms, written as POSCAR:
```
Pr2MgGe4Pd3
1.0
4.2829 0.0000 0.0000
0.0000 4.2829 0.0000
0.0000 0.0000 10.9230
Pr Mg Ge Pd
2 1 4 3
Cartesian
0.0000 2.1415 2.6598
2.1415 0.0000 8.2632
0.0000 0.0000 5.4615
0.0000 0.0000 0.0000
0.0000 2.1415 7.0650
2.1415 0.0000 3.8580
2.1415 2.1415 0.0000
0.0000 2.1415 9.5540
2.1415 0.0000 1.3690
2.1415 2.1415 5.4615
```

Computed properties:
- Crystal system: tetragonal
- Size of the total moment: 0.0 Bohr magnetons per cell
- Formation energy from the elements: -0.7683 eV/atom
- Symmetry: P-4m2, No. 115



## AlAs2P (PBE)

Data for crystalline AlAs2P at its relaxed geometry.

Cell and atoms, written as POSCAR:
```
AlAs2P
1.0
3.2455 0.0000 0.0000
0.0000 4.5818 0.0000
0.0000 0.0000 4.6211
Al As P
1 2 1
Cartesian
0.0000 0.0000 0.0000
0.0000 2.2909 2.3106
1.6227 2.2909 0.0000
1.6227 0.0000 2.3106
```

Computed properties:
- ΔE to the lowest computed polymorph: 426 meV per atom
- Crystal system: orthorhombic
- Size of the total moment: 0.0 Bohr magnetons per cell
- Formation energy from the elements: 0.3475 eV/atom
- Symmetry: Pmmm, No. 47



## Ac2ErGe3 (PBE)

Data for crystalline Ac2ErGe3 at its relaxed geometry.

Cell and atoms, written as POSCAR:
```
Ac2ErGe3
1.0
-2.5235 3.1062 5.7450
2.5235 -3.1062 5.7450
2.5235 3.1062 -5.7450
Ac Er Ge
2 1 3
Cartesian
0.0000 0.0000 2.0120
0.0000 0.0000 9.4779
0.0000 0.0000 5.7450
2.5235 0.0000 0.0000
2.5235 0.0000 4.3583
0.0000 3.1062 1.3867
```

Computed properties:
- Crystal system: orthorhombic
- Size of the total moment: 0.0 Bohr magnetons per cell
- Formation energy from the elements: -0.5925 eV/atom
- Symmetry: Immm, No. 71



## BeAl2Cu (PBE)

Data for crystalline BeAl2Cu at its relaxed geometry.

Cell and atoms, written as POSCAR:
```
BeAl2Cu
1.0
2.7550 0.0000 0.0000
0.0000 3.5899 0.0000
0.0000 0.0000 5.3180
Be Al Cu
1 2 1
Cartesian
0.0000 0.0000 0.0000
1.3775 1.7950 1.3011
1.3775 1.7950 4.0169
0.0000 0.0000 2.6590
```

Computed properties:
- Crystal system: orthorhombic
- Size of the total moment: 0.0 Bohr magnetons per cell
- Formation energy from the elements: 0.0429 eV/atom
- Symmetry: Pmmm, No. 47



size of the total moment of number 11 (Ac2ErGe3)? 0.0 Bohr magnetons per cell



Which value of formation energy from the elements does entry 12 give? 0.0429 eV/atom



Which value of formation energy from the elements does entry 4 give? 0.0868 eV/atom